DFT (PBE) results for a geometry-optimized Sc11Zn4In9 structure.

Summary:
* ΔH_f (0 K): -0.406 eV per atom

abc: 3.462 12.662 12.662
angles: 112.85 90.00 90.00
Positions (direct):
In 0.500 0.784 0.932
In 0.500 0.156 0.629
In 0.500 0.500 0.500
In 0.500 0.068 0.216
In 0.500 0.932 0.784
In 0.500 0.844 0.371
In 0.500 0.371 0.844
In 0.500 0.216 0.068
In 0.500 0.629 0.156
Sc 0.000 0.411 0.061
Sc 0.000 0.000 0.000
Sc 0.000 0.160 0.840
Sc 0.000 0.629 0.371
Sc 0.000 0.840 0.160
Sc 0.000 0.695 0.695
Sc 0.000 0.589 0.939
Sc 0.000 0.061 0.411
Sc 0.000 0.371 0.629
Sc 0.000 0.939 0.589
Sc 0.000 0.305 0.305
Zn 0.500 0.448 0.246
Zn 0.500 0.552 0.754
Zn 0.500 0.246 0.448
Zn 0.500 0.754 0.552

---

DFT (PBE) results for a geometry-optimized ScZnIn2 structure.

Summary:
* ΔH_f (0 K): -0.147 eV per atom

abc: 3.540 3.540 6.914
angles: 90.00 90.00 90.06
Each line ends with the local moment (μB).
Positions (direct):
In 0.000 0.000 0.977  0.01
In 0.000 0.000 0.523  0.01
Zn 0.500 0.500 0.750  0.01
Sc 0.500 0.500 0.250  0.27